Record 1
{"formula": "Ta2VSe4S2", "functional": "GGA-PBE", "state": "optimized geometry", "spacegroup": "P3m1", "lattice_angstrom": [[3.390, 0.000, 0.000], [-1.695, 2.936, 0.000], [0.000, 0.000, 21.055]], "species": ["Se", "Se", "Se", "Se", "S", "S", "Ta", "Ta", "V"], "fractional_positions": [[0.000, 0.000, 0.727], [0.000, 0.000, 0.565], [0.667, 0.333, 0.064], [0.667, 0.333, 0.902], [0.667, 0.333, 0.399], [0.667, 0.333, 0.262], [0.000, 0.000, 0.983], [0.667, 0.333, 0.646], [0.000, 0.000, 0.330]]}

---

Record 2
{"formula": "TaV2Se2S4", "functional": "GGA-PBE", "state": "optimized geometry", "spacegroup": "P3m1", "lattice_angstrom": [[3.291, 0.000, 0.000], [-1.645, 2.850, 0.000], [0.000, 0.000, 20.332]], "species": ["Se", "Se", "S", "S", "S", "S", "V", "V", "Ta"], "fractional_positions": [[0.667, 0.333, 0.243], [0.667, 0.333, 0.414], [0.000, 0.000, 0.585], [0.667, 0.333, 0.045], [0.000, 0.000, 0.729], [0.667, 0.333, 0.901], [0.000, 0.000, 0.973], [0.667, 0.333, 0.657], [0.000, 0.000, 0.329]]}

---

Record 3
{"formula": "Ta2VSe2S4", "functional": "GGA-PBE", "state": "optimized geometry", "spacegroup": "P3m1", "lattice_angstrom": [[-2.643, 2.037, -0.185], [1.375, -1.211, -2.795], [-12.856, -16.603, 0.872]], "species": ["S", "S", "S", "S", "V", "Se", "Se", "Ta", "Ta"], "fractional_positions": [[0.667, 0.333, 0.904], [0.000, 0.000, 0.579], [0.000, 0.000, 0.728], [0.667, 0.333, 0.053], [0.000, 0.000, 0.327], [0.667, 0.333, 0.403], [0.667, 0.333, 0.251], [0.000, 0.000, 0.979], [0.667, 0.333, 0.653]]}

---

Record 4
{"formula": "TaV2Se4S2", "functional": "GGA-PBE", "state": "optimized geometry", "spacegroup": "P3m1", "lattice_angstrom": [[-1.636, 2.452, 1.575], [-0.994, -0.994, -3.032], [-12.747, -14.180, 8.829]], "species": ["S", "S", "Se", "Se", "Se", "Se", "Ta", "V", "V"], "fractional_positions": [[0.667, 0.333, 0.253], [0.667, 0.333, 0.402], [0.000, 0.000, 0.728], [0.667, 0.333, 0.904], [0.667, 0.333, 0.056], [0.000, 0.000, 0.575], [0.000, 0.000, 0.327], [0.000, 0.000, 0.980], [0.667, 0.333, 0.651]]}

---

Record 5
{"formula": "TaW2Se4S2", "functional": "GGA-PBE", "state": "optimized geometry", "spacegroup": "P3m1", "lattice_angstrom": [[3.331, 0.000, 0.000], [-1.665, 2.884, 0.000], [0.000, 0.000, 21.599]], "species": ["W", "W", "Se", "Se", "Se", "Se", "S", "S", "Ta"], "fractional_positions": [[0.000, 0.000, 0.982], [0.667, 0.333, 0.648], [0.000, 0.000, 0.571], [0.667, 0.333, 0.905], [0.667, 0.333, 0.060], [0.000, 0.000, 0.726], [0.667, 0.333, 0.256], [0.667, 0.333, 0.401], [0.000, 0.000, 0.328]]}

---

Record 6
{"formula": "Ta2WSe2S4", "functional": "GGA-PBE", "state": "optimized geometry", "spacegroup": "P3m1", "lattice_angstrom": [[3.336, 0.000, 0.000], [-1.668, 2.889, 0.000], [0.000, 0.000, 21.158]], "species": ["S", "S", "S", "S", "Ta", "Ta", "W", "Se", "Se"], "fractional_positions": [[0.000, 0.000, 0.581], [0.667, 0.333, 0.051], [0.667, 0.333, 0.903], [0.000, 0.000, 0.729], [0.667, 0.333, 0.655], [0.000, 0.000, 0.977], [0.000, 0.000, 0.328], [0.667, 0.333, 0.407], [0.667, 0.333, 0.248]]}

---

Record 7
{"formula": "Ta2WSe4S2", "functional": "GGA-PBE", "state": "optimized geometry", "spacegroup": "P3m1", "lattice_angstrom": [[3.375, 0.000, 0.000], [-1.688, 2.923, 0.000], [0.000, 0.000, 21.452]], "species": ["Se", "Se", "Se", "Se", "Ta", "Ta", "S", "S", "W"], "fractional_positions": [[0.000, 0.000, 0.730], [0.667, 0.333, 0.061], [0.667, 0.333, 0.901], [0.000, 0.000, 0.571], [0.667, 0.333, 0.650], [0.000, 0.000, 0.981], [0.667, 0.333, 0.398], [0.667, 0.333, 0.257], [0.000, 0.000, 0.328]]}

---

Record 8
{"formula": "TaW2Se2S4", "functional": "GGA-PBE", "state": "optimized geometry", "spacegroup": "P3m1", "lattice_angstrom": [[3.279, 0.000, 0.000], [-1.640, 2.840, 0.000], [0.000, 0.000, 21.368]], "species": ["S", "S", "S", "S", "W", "W", "Se", "Se", "Ta"], "fractional_positions": [[0.000, 0.000, 0.582], [0.667, 0.333, 0.048], [0.667, 0.333, 0.904], [0.000, 0.000, 0.727], [0.000, 0.000, 0.976], [0.667, 0.333, 0.655], [0.667, 0.333, 0.410], [0.667, 0.333, 0.246], [0.000, 0.000, 0.328]]}

---

Record 9
{"formula": "Zr2TaSeS", "functional": "GGA-PBE", "state": "optimized geometry", "spacegroup": "P4/mmm", "lattice_angstrom": [[5.237, 0.000, 0.000], [0.000, 4.724, 0.000], [0.000, 0.000, 5.237]], "species": ["Zr", "Zr", "Se", "Ta", "S"], "fractional_positions": [[0.500, 0.000, 0.000], [0.000, 0.000, 0.500], [0.000, 0.500, 0.000], [0.000, 0.000, 0.000], [0.500, 0.500, 0.500]]}

---

Record 10
{"formula": "ZrTaSe3S", "functional": "GGA-PBE", "state": "optimized geometry", "spacegroup": "Cmcm", "lattice_angstrom": [[-1.687, -1.324, 2.940], [5.965, -6.290, -1.662], [6.828, 4.861, 6.108]], "species": ["S", "S", "Ta", "Ta", "Se", "Se", "Se", "Se", "Se", "Se", "Zr", "Zr"], "fractional_positions": [[0.783, 0.566, 0.750], [0.217, 0.434, 0.250], [0.000, 0.000, 0.000], [0.000, 0.000, 0.500], [0.003, 0.006, 0.750], [0.609, 0.218, 0.512], [0.997, 0.994, 0.250], [0.391, 0.782, 0.488], [0.609, 0.218, 0.988], [0.391, 0.782, 0.012], [0.377, 0.753, 0.750], [0.623, 0.247, 0.250]]}

---

Record 11
{"formula": "Tb3Se3S", "functional": "GGA-PBE", "state": "optimized geometry", "spacegroup": "R3m", "relative_energy_ev_per_atom": 0.000, "lattice_angstrom": [[-5.246, 1.546, -1.514], [-0.430, -5.657, 0.128], [0.064, 1.302, 5.523]], "species": ["S", "Tb", "Tb", "Tb", "Se", "Se", "Se"], "fractional_positions": [[0.011, 0.011, 0.011], [0.506, 0.993, 0.993], [0.993, 0.506, 0.993], [0.993, 0.993, 0.506], [0.168, 0.564, 0.564], [0.564, 0.564, 0.168], [0.564, 0.168, 0.564]]}

---

Record 12
{"formula": "Tb2SeS", "functional": "GGA-PBE", "state": "optimized geometry", "spacegroup": "R-3m", "relative_energy_ev_per_atom": 0.001, "lattice_angstrom": [[4.003, 0.000, 0.000], [2.002, 3.467, 0.000], [2.002, 1.156, 6.599]], "species": ["Tb", "Tb", "S", "Se"], "fractional_positions": [[0.741, 0.741, 0.776], [0.259, 0.259, 0.224], [0.000, 0.000, 0.000], [0.500, 0.500, 0.500]]}

---

Record 13
{"formula": "Tb5Se2S2", "functional": "GGA-PBE", "state": "optimized geometry", "spacegroup": "Cmce", "lattice_angstrom": [[-3.810, -4.648, -4.594], [6.328, -0.270, -4.975], [-1.179, -5.091, 6.129]], "species": ["Tb", "Tb", "Tb", "Tb", "Tb", "Tb", "Tb", "Tb", "Tb", "Tb", "S", "S", "S", "S", "Se", "Se", "Se", "Se"], "fractional_positions": [[0.649, 0.019, 0.304], [0.851, 0.804, 0.519], [0.649, 0.304, 0.019], [0.000, 0.000, 0.000], [0.149, 0.196, 0.481], [0.149, 0.481, 0.196], [0.500, 0.500, 0.500], [0.351, 0.696, 0.981], [0.851, 0.519, 0.804], [0.351, 0.981, 0.696], [0.500, 0.307, 0.693], [0.000, 0.807, 0.193], [0.000, 0.193, 0.807], [0.500, 0.693, 0.307], [0.648, 0.852, 0.852], [0.352, 0.148, 0.148], [0.852, 0.352, 0.352], [0.148, 0.648, 0.648]]}

---

Record 14
{"formula": "Tb4Se3S", "functional": "GGA-PBE", "state": "optimized geometry", "spacegroup": "Pm-3m", "relative_energy_ev_per_atom": 0.033, "lattice_angstrom": [[5.738, 0.000, 0.000], [0.000, 5.738, 0.000], [0.000, 0.000, 5.738]], "species": ["S", "Tb", "Tb", "Tb", "Tb", "Se", "Se", "Se"], "fractional_positions": [[0.000, 0.000, 0.000], [0.500, 0.500, 0.500], [0.000, 0.000, 0.500], [0.000, 0.500, 0.000], [0.500, 0.000, 0.000], [0.500, 0.500, 0.000], [0.500, 0.000, 0.500], [0.000, 0.500, 0.500]]}

---

Record 15
{"formula": "Tb8Se3S4", "functional": "GGA-PBE", "state": "optimized geometry", "spacegroup": "C2/m", "lattice_angstrom": [[0.944, -1.926, -7.699], [-1.708, -5.662, 5.357], [-6.410, 4.144, 2.327]], "species": ["Se", "Se", "Se", "Tb", "Tb", "Tb", "Tb", "Tb", "Tb", "Tb", "Tb", "S", "S", "S", "S"], "fractional_positions": [[0.500, 0.000, 0.500], [0.500, 0.500, 0.500], [0.500, 0.500, 0.000], [0.000, 0.758, 0.242], [0.000, 0.242, 0.758], [0.516, 0.766, 0.766], [0.985, 0.236, 0.236], [0.484, 0.234, 0.234], [0.015, 0.764, 0.764], [0.500, 0.239, 0.761], [0.500, 0.761, 0.239], [0.500, 0.000, 0.000], [0.000, 0.000, 0.000], [0.000, 0.000, 0.500], [0.000, 0.500, 0.000]]}

---

Record 16
{"formula": "Tb4SeS3", "functional": "GGA-PBE", "state": "optimized geometry", "spacegroup": "P6_3/mmc", "relative_energy_ev_per_atom": 0.000, "lattice_angstrom": [[-3.791, 0.971, 0.363], [1.791, -2.028, 2.851], [6.959, 22.741, 11.809]], "species": ["Tb", "Tb", "Tb", "Tb", "Tb", "Tb", "Tb", "Tb", "S", "S", "S", "S", "S", "S", "Se", "Se"], "fractional_positions": [[0.667, 0.333, 0.937], [0.667, 0.333, 0.563], [0.000, 0.000, 0.322], [0.333, 0.667, 0.063], [0.333, 0.667, 0.437], [0.000, 0.000, 0.178], [0.000, 0.000, 0.822], [0.000, 0.000, 0.678], [0.667, 0.333, 0.379], [0.000, 0.000, 0.500], [0.333, 0.667, 0.879], [0.667, 0.333, 0.121], [0.000, 0.000, 0.000], [0.333, 0.667, 0.621], [0.667, 0.333, 0.750], [0.333, 0.667, 0.250]]}

---

Record 17
{"formula": "Tb2SeS", "functional": "GGA-PBE", "state": "optimized geometry", "spacegroup": "Pmmn", "relative_energy_ev_per_atom": 0.025, "lattice_angstrom": [[3.982, 0.007, 0.000], [-0.010, 5.607, 0.834], [0.002, -1.194, 8.011]], "species": ["Tb", "Tb", "Tb", "Tb", "S", "S", "Se", "Se"], "fractional_positions": [[0.538, 0.373, 0.339], [0.538, 0.374, 0.809], [0.038, 0.874, 0.584], [0.038, 0.874, 0.054], [0.038, 0.373, 0.574], [0.538, 0.874, 0.819], [0.538, 0.873, 0.320], [0.038, 0.374, 0.074]]}

---

Record 18
{"formula": "Tb3Se2S", "functional": "GGA-PBE", "state": "optimized geometry", "spacegroup": "P6_3/mmc", "relative_energy_ev_per_atom": 0.044, "lattice_angstrom": [[3.995, 0.000, 0.000], [-1.998, 3.460, 0.000], [0.000, 0.000, 20.467]], "species": ["Se", "Se", "Se", "Se", "Tb", "Tb", "Tb", "Tb", "Tb", "Tb", "S", "S"], "fractional_positions": [[0.667, 0.333, 0.084], [0.333, 0.667, 0.584], [0.667, 0.333, 0.416], [0.333, 0.667, 0.916], [0.667, 0.333, 0.666], [0.333, 0.667, 0.334], [0.333, 0.667, 0.166], [0.000, 0.000, 0.000], [0.667, 0.333, 0.834], [0.000, 0.000, 0.500], [0.000, 0.000, 0.750], [0.000, 0.000, 0.250]]}

---

Record 19
{"formula": "Tb5Se2S5", "functional": "GGA-PBE", "state": "optimized geometry", "spacegroup": "C2/m", "lattice_angstrom": [[-1.681, -3.454, 0.202], [3.764, -0.023, -5.677], [7.776, -3.293, 8.376]], "species": ["S", "S", "S", "S", "S", "Tb", "Tb", "Tb", "Tb", "Tb", "Se", "Se"], "fractional_positions": [[0.262, 0.524, 0.647], [0.500, 0.000, 0.500], [0.343, 0.685, 0.950], [0.738, 0.476, 0.353], [0.657, 0.315, 0.050], [0.885, 0.771, 0.571], [0.710, 0.420, 0.816], [0.290, 0.580, 0.184], [0.000, 0.000, 0.000], [0.115, 0.229, 0.429], [0.042, 0.084, 0.780], [0.958, 0.916, 0.220]]}

---

Record 20
{"formula": "Tb2SeS2", "functional": "GGA-PBE", "state": "optimized geometry", "spacegroup": "Cmc2_1", "relative_energy_ev_per_atom": 0.120, "lattice_angstrom": [[4.058, 0.000, 0.000], [0.000, 7.023, 0.000], [-2.029, 0.000, 10.334]], "species": ["Se", "Se", "Tb", "Tb", "Tb", "Tb", "S", "S", "S", "S"], "fractional_positions": [[0.591, 0.660, 0.181], [0.409, 0.160, 0.819], [0.659, 0.996, 0.319], [0.160, 0.491, 0.320], [0.341, 0.496, 0.681], [0.840, 0.991, 0.680], [0.750, 0.327, 0.501], [0.899, 0.661, 0.798], [0.250, 0.827, 0.499], [0.101, 0.161, 0.202]]}

---

Number 1: total energy -62.16 eV per cell, formation energy (no corrections) -0.7942 eV per atom. Number 2: total energy -60.84 eV per cell, formation energy (no corrections) -0.8075 eV per atom. Number 3: total energy -64.76 eV per cell, formation energy (no corrections) -0.9393 eV per atom. Number 4: total energy -59.71 eV per cell, formation energy (no corrections) -0.8253 eV per atom. Number 5: total energy -66.52 eV per cell, formation energy (no corrections) -0.7293 eV per atom. Number 6: total energy -68.16 eV per cell, formation energy (no corrections) -0.8920 eV per atom. Number 7: total energy -65.79 eV per cell, formation energy (no corrections) -0.7709 eV per atom. Number 8: total energy -68.19 eV per cell, formation energy (no corrections) -0.7725 eV per atom. Number 9: total energy -33.77 eV per cell, formation energy (no corrections) 0.5573 eV per atom. Number 10: total energy -81.71 eV per cell, formation energy (no corrections) -0.9785 eV per atom. Number 11: total energy -40.56 eV per cell, formation energy (no corrections) -1.7272 eV per atom. Number 12: total energy -24.50 eV per cell, formation energy (no corrections) -1.9067 eV per atom. Number 13: total energy -102.33 eV per cell, formation energy (no corrections) -1.4210 eV per atom. Number 14: total energy -47.53 eV per cell, formation energy (no corrections) -1.8039 eV per atom. Number 15: total energy -90.51 eV per cell, formation energy (no corrections) -1.7670 eV per atom. Number 16: total energy -100.13 eV per cell, formation energy (no corrections) -1.9595 eV per atom. Number 17: total energy -48.81 eV per cell, formation energy (no corrections) -1.8826 eV per atom. Number 18: total energy -71.62 eV per cell, formation energy (no corrections) -1.8041 eV per atom. Number 19: total energy -74.78 eV per cell, formation energy (no corrections) -2.0022 eV per atom. Number 20: total energy -61.05 eV per cell, formation energy (no corrections) -1.9054 eV per atom.